The following is a PBE+U calculation of an optimized crystal structure of Li8MnO6, from Alexandria.

polymorph energy (0 for the lowest one)	0.0463	eV/atom
E_tot	-5.250	eV per atom
V	293.17	Å³ per cell

Cell lengths 5.5477, 5.5477, 10.9992 Å; angles 90.00, 90.00, 120.00 degrees
Space group P6_3cm (No. 185)
Inequivalent atoms, fractional coordinates:
Li1 0.0000 0.3077 0.0000 x6
Li2 0.0000 0.3854 0.3646 x6
Li3 0.3333 0.6667 0.1369 x4
Mn1 0.0000 0.0000 0.2260 x2
O1 0.0000 0.0000 0.4041 x2
O2 0.0000 0.3080 0.1826 x6
O3 0.3333 0.6667 0.4519 x4